Record 1
DFT (GGA-PBE) results for a relaxed structure of Mn2TlH2.

The structure in POSCAR format:
```
Mn2TlH2
1.0
-1.4874 1.4874 5.7070
1.4874 -1.4874 5.7070
1.4874 1.4874 -5.7070
Mn Tl H
2 1 2
Cartesian
0.0000 0.0000 2.0441
0.0000 0.0000 9.3699
0.0000 0.0000 5.7070
1.4874 0.0000 2.8535
0.0000 1.4874 2.8535
```

Results
Distance to the lowest polymorph of the same formula   0 meV/atom
Space group   I4/mmm, No. 139

Record 2
DFT (GGA-PBE) results for a relaxed structure of MnTlH3.

The structure in POSCAR format:
```
MnTlH3
1.0
3.7972 0.0000 0.0000
0.0000 3.7972 0.0000
0.0000 0.0000 3.7972
Mn Tl H
1 1 3
Cartesian
0.0000 0.0000 0.0000
1.8986 1.8986 1.8986
0.0000 0.0000 1.8986
0.0000 1.8986 0.0000
1.8986 0.0000 0.0000
```

Results
Distance to the lowest polymorph of the same formula   0 meV/atom
Space group   Pm-3m, No. 221

Record 3
DFT (GGA-PBE) results for a relaxed structure of MnTlH3.

The structure in POSCAR format:
```
MnTlH3
1.0
4.1123 0.0000 0.0000
0.0000 4.1123 0.0000
0.0000 0.0000 4.1123
Mn Tl H
1 1 3
Cartesian
0.0000 0.0000 0.0000
2.0561 2.0561 2.0561
0.0000 2.0561 2.0561
2.0561 0.0000 2.0561
2.0561 2.0561 0.0000
```

Results
Distance to the lowest polymorph of the same formula   686 meV/atom
Space group   Pm-3m, No. 221

Record 4
DFT (GGA-PBE) results for a relaxed structure of Y2MnTlH.

The structure in POSCAR format:
```
Y2MnTlH
1.0
4.8542 0.0000 0.0000
0.0000 4.8542 0.0000
0.0000 0.0000 4.1918
Y Mn Tl H
2 1 1 1
Cartesian
0.0000 2.4271 0.0000
2.4271 0.0000 0.0000
0.0000 0.0000 2.0959
2.4271 2.4271 2.0959
0.0000 0.0000 0.0000
```

Results
Space group   P4/mmm, No. 123

Record 5
DFT (GGA-PBE) results for a relaxed structure of Zr2MnTlH.

The structure in POSCAR format:
```
Zr2MnTlH
1.0
4.4267 0.0000 0.0000
0.0000 4.4267 0.0000
0.0000 0.0000 4.2531
Zr Mn Tl H
2 1 1 1
Cartesian
0.0000 2.2134 0.0000
2.2134 0.0000 0.0000
0.0000 0.0000 2.1265
2.2134 2.2134 2.1265
0.0000 0.0000 0.0000
```

Results
Space group   P4/mmm, No. 123

Record 6
DFT (GGA-PBE) results for a relaxed structure of ZrMnTl2H.

The structure in POSCAR format:
```
ZrMnTl2H
1.0
5.1361 0.0000 0.0000
0.0000 5.1361 0.0000
0.0000 0.0000 4.4977
Zr Mn Tl H
1 1 2 1
Cartesian
0.0000 0.0000 0.0000
0.0000 0.0000 2.2489
0.0000 2.5681 2.2489
2.5681 0.0000 2.2489
2.5681 2.5681 0.0000
```

Results
Space group   P4/mmm, No. 123

In the order shown, the computed total magnetic moment values come out to 0.00, 3.85, 5.31, 2.94, 3.49, 0.10 μB per formula unit.
In the order shown, the computed ρ values come out to 10.40, 7.96, 6.26, 7.37, 8.82, 7.78 g/cm3.
In the order shown, the computed DFT total energy values come out to -5.100, -4.039, -3.353, -5.731, -6.499, -4.427 eV per atom.